1.
DFT (PBE) results for crystalline CaCu3 at its relaxed geometry.

a b c (Å): 4.101 4.101 15.688
angles (deg): 90.00 90.00 90.00
Space group I4/mmm (No. 139)
Inequivalent atoms, fractional coordinates:
Ca: 0.000 0.000 0.127
Cu: 0.000 0.000 0.378
Cu: 0.000 0.500 0.000
Cu: 0.000 0.500 0.250

## Properties
DFT total energy ... -55.2 eV for the cell shown
V ... 66.0 Å³/f.u.
DOS(E_F) ... 0.40 states/eV per atom

---

2.
DFT (PBE) results for crystalline Ca3Cu2 at its relaxed geometry.

a b c (Å): 5.0658 5.0658 6.1402
angles (deg): 90.00 90.00 120.00
Space group P-3m1 (No. 164)
Inequivalent atoms, fractional coordinates:
Ca: 0.0000 0.0000 0.0000
Ca: 0.3333 0.6667 0.3343
Cu: 0.3333 0.6667 0.8444

## Properties
Excess energy over the best structure of this formula in the dataset ... 85 meV/atom
DFT total energy ... -14.3 eV for the cell shown
V ... 136.5 Å³/f.u.
DOS(E_F) ... 1.00 states/eV per atom

---

3.
DFT (PBE) results for crystalline Ca3Cu at its relaxed geometry.

a b c (Å): 6.323 6.323 6.323
angles (deg): 90.00 90.00 90.00
Space group Pm-3n (No. 223)
Inequivalent atoms, fractional coordinates:
Ca: 0.000 0.250 0.500
Cu: 0.000 0.000 0.000

## Properties
DFT total energy ... -18.5 eV for the cell shown
V ... 126.4 Å³/f.u.
DOS(E_F) ... 1.02 states/eV per atom